Below is a geometry-optimized ZrFeSbO6 structure, with properties calculated at the PBE+U level.

The structure in POSCAR format:
```
ZrFeSbO6
1.0
5.306 0.000 0.000
-2.653 4.595 0.000
0.000 0.000 8.863
Zr Fe Sb O
2 2 2 12
Direct
0.333 0.667 0.250 Zr
0.667 0.333 0.750 Zr
0.000 0.000 0.000 Fe
0.000 0.000 0.500 Fe
0.333 0.667 0.750 Sb
0.667 0.333 0.250 Sb
0.015 0.342 0.627 O
0.015 0.673 0.873 O
0.327 0.342 0.873 O
0.327 0.985 0.627 O
0.342 0.015 0.127 O
0.342 0.327 0.373 O
0.658 0.673 0.627 O
0.658 0.985 0.873 O
0.673 0.015 0.373 O
0.673 0.658 0.127 O
0.985 0.327 0.127 O
0.985 0.658 0.373 O
```

Values from the calculation:
volume: 216.1 Å³ per cell
DFT total energy: -130.565 eV for the cell shown